A plane-wave DFT calculation with GGA-PBE was carried out for a geometry-optimized Ti3NbSn structure.

a b c (Å): 4.6885 5.8712 6.7281
angles (deg): 90.00 90.00 90.00
Fractional coordinates of all 10 atoms:
1 Ti 0.2500 0.0357 0.2469
2 Ti 0.2500 0.4643 0.2469
3 Ti 0.2500 0.7500 0.9312
4 Ti 0.7500 0.2500 0.0688
5 Ti 0.7500 0.5357 0.7531
6 Ti 0.7500 0.9643 0.7531
7 Nb 0.2500 0.7500 0.5647
8 Nb 0.7500 0.2500 0.4353
9 Sn 0.2500 0.2500 0.7732
10 Sn 0.7500 0.7500 0.2268

## Properties
polymorph energy (0 for the lowest one)	193.7	meV per atom



A plane-wave DFT calculation with GGA-PBE was carried out for a geometry-optimized Ti3Nb2Sn2 structure.

a b c (Å): 4.7520 19.1431 2.8715
angles (deg): 90.00 90.00 90.00
Fractional coordinates of all 14 atoms:
1 Ti 0.0000 0.0000 0.0000
2 Ti 0.0000 0.2845 0.0000
3 Ti 0.0000 0.7155 0.0000
4 Ti 0.5000 0.2155 0.0000
5 Ti 0.5000 0.5000 0.0000
6 Ti 0.5000 0.7845 0.0000
7 Nb 0.0000 0.4266 0.0000
8 Nb 0.0000 0.5734 0.0000
9 Nb 0.5000 0.0734 0.0000
10 Nb 0.5000 0.9266 0.0000
11 Sn 0.0000 0.1441 0.5000
12 Sn 0.0000 0.8559 0.5000
13 Sn 0.5000 0.3559 0.5000
14 Sn 0.5000 0.6441 0.5000

## Properties
polymorph energy (0 for the lowest one)	50.8	meV per atom



A plane-wave DFT calculation with GGA-PBE was carried out for a geometry-optimized Ti2Nb2Sn structure.

a b c (Å): 7.1794 7.1794 3.5951
angles (deg): 90.00 90.00 90.00
Fractional coordinates of all 10 atoms:
1 Ti 0.1271 0.3729 0.0000
2 Ti 0.3729 0.8729 0.0000
3 Ti 0.6271 0.1271 0.0000
4 Ti 0.8729 0.6271 0.0000
5 Nb 0.1757 0.6757 0.5000
6 Nb 0.3243 0.1757 0.5000
7 Nb 0.6757 0.8243 0.5000
8 Nb 0.8243 0.3243 0.5000
9 Sn 0.0000 0.0000 0.0000
10 Sn 0.5000 0.5000 0.0000

## Properties
polymorph energy (0 for the lowest one)	120.3	meV per atom



Number 1: DOS at the Fermi energy 0.794 states/eV per atom, total magnetic moment 0.00 Bohr magnetons per cell, formation energy 63 meV per atom. Number 2: DOS at the Fermi energy 0.883 states/eV per atom, total magnetic moment 0.00 Bohr magnetons per cell, formation energy 38 meV per atom. Number 3: DOS at the Fermi energy 0.646 states/eV per atom, total magnetic moment 0.00 Bohr magnetons per cell, formation energy 5 meV per atom.